DFT (PBE-GGA) results for crystalline K2LiZnI at its relaxed geometry.

Computed properties:
Its density of states at the Fermi level is 0.317 states/eV/cell. The magnetic moment comes out at 0.00 μB/f.u. The calculation puts the raw formation energy at -0.109 eV/atom.

POSCAR file:
```
K2LiZnI
1.0
6.656 0.000 0.000
0.000 6.656 0.000
0.000 0.000 6.890
K Li Zn I
2 1 1 1
Direct
0.000 0.500 0.000 K
0.500 0.000 0.000 K
0.000 0.000 0.500 Li
0.500 0.500 0.500 Zn
0.500 0.500 0.000 I
```

DFT (PBE-GGA) results for crystalline Si3SbPd at its relaxed geometry.

Computed properties:
Its density of states at the Fermi level is 2.278 states/eV/cell. The magnetic moment comes out at 0.00 μB/f.u. The calculation puts the raw formation energy at 0.487 eV/atom. The energy above the lowest structure with this stoichiometry is 0.0 kJ/mol of formula units.

POSCAR file:
```
Si3SbPd
1.0
4.734 0.000 0.000
0.000 4.734 0.000
0.000 0.000 4.734
Si Sb Pd
3 1 1
Direct
0.000 0.000 0.500 Si
0.000 0.500 0.000 Si
0.500 0.000 0.000 Si
0.500 0.500 0.500 Sb
0.000 0.000 0.000 Pd
```

DFT (PBE-GGA) results for crystalline CdBPt4 at its relaxed geometry.

Computed properties:
Its formation enthalpy at 0 K is -0.038 eV per atom. Its density of states at the Fermi level is 3.462 states/eV/cell. The magnetic moment comes out at 0.00 μB/f.u. The energy above the lowest structure with this stoichiometry is 89.4 kJ/mol of formula units.

POSCAR file:
```
CdBPt4
1.0
3.809 0.000 0.000
0.000 3.809 0.000
0.000 0.000 6.972
Cd B Pt
1 1 4
Direct
0.000 0.000 0.000 Cd
0.500 0.500 0.500 B
0.000 0.500 0.305 Pt
0.000 0.500 0.695 Pt
0.500 0.000 0.305 Pt
0.500 0.000 0.695 Pt
```

DFT (PBE-GGA) results for crystalline BePCl2F at its relaxed geometry.

Computed properties:
Its density of states at the Fermi level is 2.753 states/eV/cell. The magnetic moment comes out at 0.00 μB/f.u. The calculation puts the raw formation energy at -0.040 eV/atom. The energy above the lowest structure with this stoichiometry is 26.0 kJ/mol of formula units.

POSCAR file:
```
BePCl2F
1.0
4.235 0.000 0.000
0.000 4.235 0.000
0.000 0.000 4.636
Be P Cl F
1 1 2 1
Direct
0.000 0.000 0.000 Be
0.000 0.000 0.500 P
0.000 0.500 0.000 Cl
0.500 0.000 0.000 Cl
0.500 0.500 0.500 F
```

DFT (PBE-GGA) results for crystalline BeMoN at its relaxed geometry.

Computed properties:
Its density of states at the Fermi level is 2.558 states/eV/cell. The magnetic moment comes out at 0.00 μB/f.u. The calculation puts the raw formation energy at -0.289 eV/atom.

POSCAR file:
```
BeMoN
1.0
4.687 -1.596 0.000
4.687 1.596 0.000
-1.618 0.000 4.032
Be Mo N
2 2 2
Direct
0.171 0.171 0.479 Be
0.829 0.829 0.521 Be
0.374 0.374 0.093 Mo
0.626 0.626 0.907 Mo
0.377 0.377 0.603 N
0.623 0.623 0.397 N
```

DFT (PBE-GGA) results for crystalline PrIn3Rh at its relaxed geometry.

Computed properties:
Its formation enthalpy at 0 K is -0.501 eV per atom. Its density of states at the Fermi level is 9.796 states/eV/cell. The magnetic moment comes out at 0.00 μB/f.u.

POSCAR file:
```
PrIn3Rh
1.0
9.159 0.000 0.000
0.000 4.512 0.000
0.000 0.000 11.633
Pr In Rh
4 12 4
Direct
0.202 0.250 0.010 Pr
0.298 0.750 0.510 Pr
0.702 0.250 0.490 Pr
0.798 0.750 0.990 Pr
0.055 0.250 0.586 In
0.104 0.750 0.801 In
0.148 0.750 0.213 In
0.352 0.250 0.713 In
0.396 0.250 0.301 In
0.445 0.750 0.086 In
0.555 0.250 0.914 In
0.604 0.750 0.699 In
0.648 0.750 0.287 In
0.852 0.250 0.787 In
0.896 0.250 0.199 In
0.945 0.750 0.414 In
0.113 0.250 0.355 Rh
0.387 0.750 0.855 Rh
0.613 0.250 0.145 Rh
0.887 0.750 0.645 Rh
```

DFT (PBE-GGA) results for crystalline LaPHN3 at its relaxed geometry.

Computed properties:
Its density of states at the Fermi level is 0.000 states/eV/cell. The magnetic moment comes out at 0.00 μB/f.u. The total energy is -7.204 eV/atom.

POSCAR file:
```
LaPHN3
1.0
5.183 -2.999 0.000
5.183 2.999 0.000
-1.971 0.000 5.445
La P H N
2 2 2 6
Direct
0.224 0.224 0.270 La
0.776 0.776 0.730 La
0.449 0.449 0.783 P
0.551 0.551 0.217 P
0.263 0.737 0.500 H
0.737 0.263 0.500 H
0.187 0.628 0.611 N
0.372 0.813 0.389 N
0.384 0.384 0.015 N
0.616 0.616 0.985 N
0.628 0.187 0.611 N
0.813 0.372 0.389 N
```

DFT (PBE-GGA) results for crystalline Er8NiTe4As3 at its relaxed geometry.

Computed properties:
Its density of states at the Fermi level is 10.451 states/eV/cell. The magnetic moment comes out at 0.00 μB/f.u. The calculation puts the raw formation energy at -1.272 eV/atom.

POSCAR file:
```
Er8NiTe4As3
1.0
7.200 -4.156 0.000
7.200 4.156 0.000
-4.803 0.000 6.998
Er Ni Te As
8 1 4 3
Direct
0.230 0.752 0.712 Er
0.232 0.232 0.714 Er
0.248 0.770 0.288 Er
0.261 0.261 0.282 Er
0.739 0.739 0.718 Er
0.752 0.230 0.712 Er
0.768 0.768 0.286 Er
0.770 0.248 0.288 Er
0.000 0.000 0.500 Ni
0.000 0.000 0.000 Te
0.000 0.500 0.000 Te
0.500 0.000 0.000 Te
0.500 0.500 0.000 Te
0.000 0.500 0.500 As
0.500 0.000 0.500 As
0.500 0.500 0.500 As
```

DFT (PBE-GGA) results for crystalline IrBr3F at its relaxed geometry.

Computed properties:
Its density of states at the Fermi level is 4.145 states/eV/cell. The magnetic moment comes out at 2.26 μB/f.u. The calculation puts the raw formation energy at 0.234 eV/atom. The energy above the lowest structure with this stoichiometry is 191.6 kJ/mol of formula units.

POSCAR file:
```
IrBr3F
1.0
5.036 0.000 0.000
0.000 5.036 0.000
0.000 0.000 5.036
Ir Br F
1 3 1
Direct
0.000 0.000 0.000 Ir
0.000 0.000 0.500 Br
0.000 0.500 0.000 Br
0.500 0.000 0.000 Br
0.500 0.500 0.500 F
```

DFT (PBE-GGA) results for crystalline YbPrHg2 at its relaxed geometry.

Computed properties:
Its formation enthalpy at 0 K is -0.557 eV per atom. Its density of states at the Fermi level is 16.258 states/eV/cell. The magnetic moment comes out at 0.25 μB/f.u.

POSCAR file:
```
YbPrHg2
1.0
0.000 3.815 3.815
3.815 0.000 3.815
3.815 3.815 0.000
Yb Pr Hg
1 1 2
Direct
0.000 0.000 0.000 Yb
0.500 0.500 0.500 Pr
0.250 0.250 0.250 Hg
0.750 0.750 0.750 Hg
```

DFT (PBE-GGA) results for crystalline Cr2InRe at its relaxed geometry.

Computed properties:
Its formation enthalpy at 0 K is 0.266 eV per atom. Its density of states at the Fermi level is 2.939 states/eV/cell. The magnetic moment comes out at 2.46 μB/f.u.

POSCAR file:
```
Cr2InRe
1.0
3.040 0.000 0.000
0.000 3.040 0.000
0.000 0.000 6.539
Cr In Re
2 1 1
Direct
0.000 0.000 0.216 Cr
0.000 0.000 0.784 Cr
0.500 0.500 0.500 In
0.500 0.500 0.000 Re
```

DFT (PBE-GGA) results for crystalline In2AgSn2 at its relaxed geometry.

Computed properties:
Its formation enthalpy at 0 K is 0.230 eV per atom. Its density of states at the Fermi level is 2.565 states/eV/cell. The magnetic moment comes out at 0.00 μB/f.u. The energy above the lowest structure with this stoichiometry is 65.9 kJ/mol of formula units.

POSCAR file:
```
In2AgSn2
1.0
-2.082 2.082 7.936
2.082 -2.082 7.936
2.082 2.082 -7.936
In Ag Sn
2 1 2
Direct
0.250 0.750 0.500 In
0.750 0.250 0.500 In
0.000 0.000 0.000 Ag
0.406 0.406 0.000 Sn
0.594 0.594 0.000 Sn
```

DFT (PBE-GGA) results for crystalline AlSb2TeAu at its relaxed geometry.

Computed properties:
Its density of states at the Fermi level is 4.129 states/eV/cell. The magnetic moment comes out at 0.00 μB/f.u. The calculation puts the raw formation energy at 0.648 eV/atom. The energy above the lowest structure with this stoichiometry is 8.3 kJ/mol of formula units.

POSCAR file:
```
AlSb2TeAu
1.0
5.394 0.000 0.000
0.000 5.394 0.000
0.000 0.000 5.587
Al Sb Te Au
1 2 1 1
Direct
0.000 0.000 0.000 Al
0.000 0.500 0.500 Sb
0.500 0.000 0.500 Sb
0.500 0.500 0.000 Te
0.500 0.500 0.500 Au
```

DFT (PBE-GGA) results for crystalline UIn2SnSe4 at its relaxed geometry.

Computed properties:
Its density of states at the Fermi level is 4.665 states/eV/cell. The magnetic moment comes out at 2.00 μB/f.u. The calculation puts the raw formation energy at -0.638 eV/atom.

POSCAR file:
```
UIn2SnSe4
1.0
7.445 0.000 0.000
0.000 4.226 0.000
-2.380 0.000 7.557
U In Sn Se
1 2 1 4
Direct
0.000 0.000 0.000 U
0.000 0.500 0.500 In
0.500 0.000 0.500 In
0.500 0.500 0.000 Sn
0.222 0.500 0.210 Se
0.240 0.000 0.786 Se
0.760 0.000 0.214 Se
0.778 0.500 0.790 Se
```

DFT (PBE-GGA) results for crystalline ZnCu2Sb at its relaxed geometry.

Computed properties:
Its density of states at the Fermi level is 1.370 states/eV/cell. The magnetic moment comes out at 0.00 μB/f.u. The calculation puts the raw formation energy at 0.137 eV/atom. The energy above the lowest structure with this stoichiometry is 17.9 kJ/mol of formula units.

POSCAR file:
```
ZnCu2Sb
1.0
-1.980 1.980 4.102
1.980 -1.980 4.102
1.980 1.980 -4.102
Zn Cu Sb
1 2 1
Direct
0.000 0.000 0.000 Zn
0.250 0.750 0.500 Cu
0.500 0.500 0.000 Cu
0.750 0.250 0.500 Sb
```

DFT (PBE-GGA) results for crystalline Ac2SmRuN4 at its relaxed geometry.

Computed properties:
Its density of states at the Fermi level is 3.674 states/eV/cell. The magnetic moment comes out at 0.00 μB/f.u. The calculation puts the raw formation energy at -0.649 eV/atom.

POSCAR file:
```
Ac2SmRuN4
1.0
1.791 -6.292 0.000
1.791 6.292 0.000
0.000 0.000 12.829
Ac Sm Ru N
4 2 2 8
Direct
0.132 0.868 0.542 Ac
0.132 0.868 0.958 Ac
0.868 0.132 0.042 Ac
0.868 0.132 0.458 Ac
0.369 0.631 0.750 Sm
0.631 0.369 0.250 Sm
0.344 0.656 0.250 Ru
0.656 0.344 0.750 Ru
0.089 0.911 0.750 N
0.219 0.781 0.144 N
0.219 0.781 0.356 N
0.500 0.500 0.000 N
0.500 0.500 0.500 N
0.781 0.219 0.644 N
0.781 0.219 0.856 N
0.911 0.089 0.250 N
```

DFT (PBE-GGA) results for crystalline TaTiCoRu at its relaxed geometry.

Computed properties:
Its formation enthalpy at 0 K is -0.397 eV per atom. Its density of states at the Fermi level is 3.102 states/eV/cell. The magnetic moment comes out at 1.41 μB/f.u.

POSCAR file:
```
TaTiCoRu
1.0
3.077 0.000 0.000
0.000 3.077 0.000
0.000 0.000 6.191
Ta Ti Co Ru
1 1 1 1
Direct
0.000 0.000 0.000 Ta
0.000 0.000 0.515 Ti
0.500 0.500 0.749 Co
0.500 0.500 0.265 Ru
```

DFT (PBE-GGA) results for crystalline TlFe2Os at its relaxed geometry.

Computed properties:
Its formation enthalpy at 0 K is 0.648 eV per atom. Its density of states at the Fermi level is 3.356 states/eV/cell. The magnetic moment comes out at 5.88 μB/f.u. The energy above the lowest structure with this stoichiometry is 50.0 kJ/mol of formula units.

POSCAR file:
```
TlFe2Os
1.0
-1.956 1.956 3.951
1.956 -1.956 3.951
1.956 1.956 -3.951
Tl Fe Os
1 2 1
Direct
0.000 0.000 0.000 Tl
0.250 0.750 0.500 Fe
0.500 0.500 0.000 Fe
0.750 0.250 0.500 Os
```

DFT (PBE-GGA) results for crystalline BeZnF2 at its relaxed geometry.

Computed properties:
Its density of states at the Fermi level is 0.683 states/eV/cell. The magnetic moment comes out at 0.00 μB/f.u. The calculation puts the raw formation energy at -1.650 eV/atom. The energy above the lowest structure with this stoichiometry is 181.1 kJ/mol of formula units.

POSCAR file:
```
BeZnF2
1.0
1.479 0.854 8.570
-1.479 0.854 8.570
0.000 -1.708 8.570
Be Zn F
1 1 2
Direct
0.000 0.000 0.000 Be
0.500 0.500 0.500 Zn
0.054 0.054 0.054 F
0.946 0.946 0.946 F
```

DFT (PBE-GGA) results for crystalline YHgIr2 at its relaxed geometry.

Computed properties:
Its formation enthalpy at 0 K is 0.357 eV per atom. Its density of states at the Fermi level is 6.041 states/eV/cell. The magnetic moment comes out at 0.65 μB/f.u.

POSCAR file:
```
YHgIr2
1.0
1.500 0.866 9.682
-1.500 0.866 9.682
0.000 -1.732 9.682
Y Hg Ir
1 1 2
Direct
0.000 0.000 0.000 Y
0.761 0.761 0.761 Hg
0.247 0.247 0.247 Ir
0.511 0.511 0.511 Ir
```

What theoretical density values result from the calculations? In sequence: 1.51 4.89 14.84 2.59 6.55 8.13 4.18 8.45 5.86 10.69 11.13 6.94 6.08 6.30 8.11 8.75 11.01 13.90 2.87 14.84 g/cm³.